BaZr | PBE | relaxed

a b c (Å): 5.381 8.818 6.260
angles (deg): 90.00 90.00 90.00
Fractional positions:
Ba 0.000 0.000 0.000
Ba 0.000 0.291 0.546
Ba 0.000 0.709 0.546
Ba 0.500 0.000 0.434
Zr 0.000 0.500 0.073
Zr 0.500 0.336 0.942
Zr 0.500 0.500 0.351
Zr 0.500 0.664 0.942

Values from the calculation:
Its energy above the most stable polymorph in this dataset is 142 meV/atom. The crystal system is orthorhombic.